Density functional theory data (PBE) for K4Pa3NbO12 after structural relaxation.

```
20
Lattice="-4.306 4.306 4.306 4.306 -4.306 4.306 4.306 4.306 -4.306" Properties=species:S:1:pos:R:3 pbc="T T T"
K 2.153 2.153 -2.153
K 2.153 -2.153 2.153
K -2.153 2.153 2.153
K 2.153 2.153 2.153
Pa 4.306 0.000 0.000
Pa 0.000 4.306 0.000
Pa 0.000 0.000 4.306
Nb 0.000 0.000 0.000
O 2.060 0.000 0.000
O 6.551 0.000 0.000
O 0.000 2.060 0.000
O 0.000 0.000 2.060
O 4.306 2.153 0.000
O 4.306 0.000 2.153
O 2.153 4.306 0.000
O 2.153 0.000 4.306
O 0.000 4.306 2.153
O 0.000 2.153 4.306
O 0.000 6.551 0.000
O 0.000 0.000 6.551
```

Its energy relative to the elements, uncorrected is -2951.5 meV/atom. The calculation puts the magnetic moment at 0.00 μB/f.u. The value obtained for the total energy is -161.5 eV for the cell shown.


Density functional theory data (PBE) for K3PaNb2O9 after structural relaxation.

```
15
Lattice="5.885 0.000 0.000 -2.943 5.097 0.000 0.000 0.000 7.232" Properties=species:S:1:pos:R:3 pbc="T T T"
K 0.000 0.000 0.000
K 0.000 3.398 4.856
K 2.943 1.699 2.376
Pa 0.000 0.000 3.616
Nb 0.000 3.398 1.138
Nb 2.943 1.699 6.094
O -1.471 2.548 0.000
O 0.000 1.768 2.333
O -1.412 4.213 2.333
O 1.531 0.884 4.899
O 2.943 0.000 0.000
O 1.471 2.548 0.000
O 1.412 4.213 2.333
O 4.354 0.884 4.899
O 2.943 3.329 4.899
```

Its energy relative to the elements, uncorrected is -2661.2 meV/atom. The calculation puts the magnetic moment at 0.00 μB/f.u. The value obtained for the total energy is -117.5 eV for the cell shown.


Density functional theory data (PBE) for KPaNbO6 after structural relaxation.

```
18
Lattice="5.705 0.000 0.000 -2.852 4.941 0.000 0.000 0.000 11.629" Properties=species:S:1:pos:R:3 pbc="T T T"
K 0.000 0.000 0.000
K 0.000 0.000 5.815
Pa 0.000 3.294 2.907
Pa 2.852 1.647 8.722
Nb 0.000 3.294 8.722
Nb 2.852 1.647 2.907
O -1.034 1.961 7.604
O -1.671 3.064 9.840
O 1.034 1.961 9.840
O -0.637 4.856 7.604
O 2.216 0.085 1.789
O 1.181 1.876 4.025
O 1.671 3.064 7.604
O 0.637 4.856 9.840
O 3.489 0.085 4.025
O 1.818 2.979 1.789
O 4.524 1.876 1.789
O 3.887 2.979 4.025
```

Its energy relative to the elements, uncorrected is -2608.1 meV/atom. The calculation puts the magnetic moment at 1.00 μB/f.u. The value obtained for the total energy is -147.8 eV for the cell shown.